1.
Below is a relaxed structure of La2PmSm3, with properties calculated at the GGA-PBE level.

Unit cell a=3.620 b=9.906 c=11.843 alpha=86.96 beta=90.00 gamma=90.00
Fractional positions:
La1 0.250 0.442 0.861
La2 0.750 0.558 0.139
La3 0.750 0.087 0.378
La4 0.250 0.913 0.622
Pm1 0.250 0.757 0.357
Pm2 0.750 0.243 0.643
Sm1 0.750 0.924 0.119
Sm2 0.250 0.076 0.881
Sm3 0.750 0.768 0.861
Sm4 0.250 0.232 0.139
Sm5 0.250 0.403 0.398
Sm6 0.750 0.597 0.602

## Properties
DFT formation energy	0.062	eV/atom
DOS(E_F)	1.482	states/eV/atom
E	-4.732	eV per atom
crystal system	monoclinic
excess energy over the best structure of this formula in the dataset	0	meV per atom

=====

2.
Below is a relaxed structure of La7Pm3Sm, with properties calculated at the GGA-PBE level.

Unit cell a=6.081 b=8.713 c=8.713 alpha=83.38 beta=110.31 gamma=110.31
Fractional positions:
La1 0.210 0.210 0.210
La2 0.302 0.009 0.596
La3 0.698 0.404 0.991
La4 0.302 0.596 0.009
La5 0.000 0.500 0.500
La6 0.698 0.991 0.404
La7 0.790 0.790 0.790
Pm1 0.000 0.793 0.207
Pm2 0.500 0.000 0.000
Pm3 0.000 0.207 0.793
Sm1 0.500 0.500 0.500

## Properties
DFT formation energy	0.196	eV/atom
DOS(E_F)	1.590	states/eV/atom
E	-4.664	eV per atom
crystal system	monoclinic

=====

3.
Below is a relaxed structure of LaPmSm2, with properties calculated at the GGA-PBE level.

Unit cell a=3.670 b=3.670 c=10.351 alpha=90.00 beta=90.00 gamma=90.00
Fractional positions:
La1 0.500 0.500 0.500
Sm1 0.000 0.000 0.754
Sm2 0.000 0.000 0.246
Pm1 0.500 0.500 0.000

## Properties
DFT formation energy	0.019	eV/atom
DOS(E_F)	1.651	states/eV/atom
E	-4.760	eV per atom
crystal system	tetragonal
excess energy over the best structure of this formula in the dataset	5	meV per atom

=====

4.
Below is a relaxed structure of La4PmSm5, with properties calculated at the GGA-PBE level.

Unit cell a=5.662 b=10.682 c=6.593 alpha=89.97 beta=115.43 gamma=90.00
Fractional positions:
La1 0.674 0.250 0.347
La2 0.051 0.749 0.102
La3 0.326 0.750 0.653
La4 0.949 0.251 0.898
Pm1 0.500 0.000 0.000
Sm1 0.197 0.066 0.394
Sm2 0.197 0.434 0.395
Sm3 0.803 0.566 0.605
Sm4 0.500 0.500 0.000
Sm5 0.803 0.934 0.606

## Properties
DFT formation energy	0.155	eV/atom
DOS(E_F)	1.667	states/eV/atom
E	-4.651	eV per atom
crystal system	monoclinic
excess energy over the best structure of this formula in the dataset	0	meV per atom